## Hf2Cu3W4N3 (PBE-GGA)

Data for Hf2Cu3W4N3 after structural relaxation.

The electronic total energy comes out at -222.079 eV per cell. As for the magnetic moment: 0.033 μB/atom.

abc: 5.3330 5.3330 13.1965
angles: 101.40 101.40 60.41
Fractional positions:
Hf (0.0391, 0.8713, 0.6188)
Hf (0.1287, 0.9609, 0.8812)
Hf (0.8713, 0.0391, 0.1188)
Hf (0.9609, 0.1287, 0.3812)
Cu (0.0820, 0.3891, 0.7485)
Cu (0.3891, 0.0820, 0.2485)
Cu (0.4475, 0.5525, 0.2500)
Cu (0.5525, 0.4475, 0.7500)
Cu (0.6109, 0.9180, 0.7515)
Cu (0.9180, 0.6109, 0.2515)
W (0.1938, 0.3682, 0.0805)
W (0.3162, 0.4636, 0.4193)
W (0.3682, 0.1938, 0.5805)
W (0.4636, 0.3162, 0.9193)
W (0.5364, 0.6838, 0.0807)
W (0.6318, 0.8062, 0.4195)
W (0.6838, 0.5364, 0.5807)
W (0.8062, 0.6318, 0.9195)
N (0.0000, 0.5000, 0.5000)
N (0.1456, 0.7096, 0.0000)
N (0.2904, 0.8544, 0.5000)
N (0.5000, 0.0000, 0.0000)
N (0.7096, 0.1456, 0.5000)
N (0.8544, 0.2904, 0.0000)

***

## Y2Hf4Cu3N3 (PBE-GGA)

Data for Y2Hf4Cu3N3 after structural relaxation.

The electronic total energy comes out at -200.011 eV per cell. As for the magnetic moment: 0.001 μB/atom.

abc: 5.6238 5.6238 14.1600
angles: 101.84 101.84 60.12
Fractional positions:
Y (0.0418, 0.8758, 0.6194)
Y (0.1242, 0.9582, 0.8806)
Y (0.8758, 0.0418, 0.1194)
Y (0.9582, 0.1242, 0.3806)
Hf (0.1941, 0.3564, 0.0866)
Hf (0.2966, 0.4794, 0.4134)
Hf (0.3564, 0.1941, 0.5866)
Hf (0.4794, 0.2966, 0.9134)
Hf (0.5206, 0.7034, 0.0866)
Hf (0.6436, 0.8059, 0.4134)
Hf (0.7034, 0.5206, 0.5866)
Hf (0.8059, 0.6436, 0.9134)
Cu (0.0855, 0.4004, 0.7506)
Cu (0.4004, 0.0855, 0.2506)
Cu (0.4277, 0.5723, 0.2500)
Cu (0.5723, 0.4277, 0.7500)
Cu (0.5996, 0.9145, 0.7494)
Cu (0.9145, 0.5996, 0.2494)
N (0.0000, 0.5000, 0.5000)
N (0.1716, 0.6565, 0.0000)
N (0.3435, 0.8284, 0.5000)
N (0.5000, 0.0000, 0.0000)
N (0.6565, 0.1716, 0.5000)
N (0.8284, 0.3435, 0.0000)

***

## Hf4ZnCuN2 (PBE-GGA)

Data for Hf4ZnCuN2 after structural relaxation.

The electronic total energy comes out at -68.709 eV per cell. As for the magnetic moment: 0.026 μB/atom.

abc: 3.2122 3.2122 13.7153
angles: 90.00 90.00 120.00
Fractional positions:
Hf (0.0000, 0.0000, 0.1541)
Hf (0.0000, 0.0000, 0.8459)
Hf (0.3333, 0.6667, 0.3373)
Hf (0.3333, 0.6667, 0.6627)
Zn (0.0000, 0.0000, 0.5000)
Cu (0.3333, 0.6667, 0.0000)
N (0.6667, 0.3333, 0.2467)
N (0.6667, 0.3333, 0.7533)

***

## Hf4Zr2Cu3N3 (PBE-GGA)

Data for Hf4Zr2Cu3N3 after structural relaxation.

The electronic total energy comes out at -207.025 eV per cell. As for the magnetic moment: 0.000 μB/atom.

abc: 5.5271 5.5271 14.0658
angles: 101.86 101.86 59.96
Fractional positions:
Hf (0.0231, 0.2028, 0.0878)
Hf (0.1419, 0.3045, 0.4121)
Hf (0.2028, 0.0231, 0.5878)
Hf (0.3045, 0.1419, 0.9121)
Hf (0.6955, 0.8581, 0.0879)
Hf (0.7972, 0.9769, 0.4122)
Hf (0.8581, 0.6955, 0.5879)
Hf (0.9769, 0.7972, 0.9122)
Zr (0.3753, 0.5396, 0.1122)
Zr (0.4604, 0.6247, 0.3878)
Zr (0.5396, 0.3753, 0.6122)
Zr (0.6247, 0.4604, 0.8878)
Cu (0.0662, 0.9338, 0.7500)
Cu (0.1091, 0.4149, 0.7500)
Cu (0.4149, 0.1091, 0.2500)
Cu (0.5851, 0.8909, 0.7500)
Cu (0.8909, 0.5851, 0.2500)
Cu (0.9338, 0.0662, 0.2500)
N (0.0000, 0.5000, 0.0000)
N (0.1679, 0.6659, 0.5000)
N (0.3341, 0.8321, 0.0000)
N (0.5000, 0.0000, 0.5000)
N (0.6659, 0.1679, 0.0000)
N (0.8321, 0.3341, 0.5000)

***

## NaHfCu (PBE-GGA)

Data for NaHfCu after structural relaxation.

As for the magnetic moment: 0.001 μB/atom. The relative energy among the computed polymorphs is 0 meV per atom.

abc: 6.3324 6.3324 6.3324
angles: 90.00 90.00 90.00
Fractional positions:
Na (0.0000, 0.0000, 0.0000)
Na (0.0000, 0.5000, 0.5000)
Na (0.5000, 0.0000, 0.5000)
Na (0.5000, 0.5000, 0.0000)
Hf (0.0000, 0.0000, 0.5000)
Hf (0.0000, 0.5000, 0.0000)
Hf (0.5000, 0.0000, 0.0000)
Hf (0.5000, 0.5000, 0.5000)
Cu (0.2500, 0.2500, 0.7500)
Cu (0.2500, 0.7500, 0.2500)
Cu (0.7500, 0.2500, 0.2500)
Cu (0.7500, 0.7500, 0.7500)

***

## NaHfCuS3 (PBE-GGA)

Data for NaHfCuS3 after structural relaxation.

The electronic total energy comes out at -69.296 eV per cell. As for the magnetic moment: 0.000 μB/atom.

abc: 7.3751 3.6858 9.1530
angles: 90.00 107.73 90.00
Fractional positions:
Na (0.2398, 0.2500, 0.2017)
Na (0.7602, 0.7500, 0.7983)
Hf (0.1923, 0.7500, 0.6654)
Hf (0.8077, 0.2500, 0.3346)
Cu (0.4171, 0.2500, 0.9028)
Cu (0.5829, 0.7500, 0.0972)
S (0.0647, 0.7500, 0.3642)
S (0.2443, 0.7500, 0.9495)
S (0.4232, 0.2500, 0.6534)
S (0.5768, 0.7500, 0.3466)
S (0.7557, 0.2500, 0.0505)
S (0.9353, 0.2500, 0.6358)